## Pm8SmBi6 (PBE-GGA)

Data for Pm8SmBi6 after structural relaxation.

Cell lengths 8.3063, 8.3063, 26.2970 Å; angles 90.00, 90.00, 120.00 degrees
Space group R-3 (No. 148, hexagonal axes)
Inequivalent atoms, fractional coordinates:
Pm 0.0000 0.0000 0.1667
Pm 0.9997 0.3341 0.6223
Sm 0.0000 0.0000 0.5000
Bi 0.9998 0.3321 0.4334

- DFT formation energy (meV per atom) = -593